A plane-wave DFT calculation with PBE-GGA was carried out for a relaxed structure of DyTlIr.

uncorrected energy = -5.068 eV per atom
space group = F-43m, No. 216
V = 77.2 Å³/f.u.
crystal system = cubic

Cell lengths 6.7585, 6.7585, 6.7585 Å; angles 90.00, 90.00, 90.00 degrees
Positions (direct):
1 Dy 0.0000 0.0000 0.0000
2 Dy 0.0000 0.5000 0.5000
3 Dy 0.5000 0.0000 0.5000
4 Dy 0.5000 0.5000 0.0000
5 Tl 0.2500 0.2500 0.2500
6 Tl 0.2500 0.7500 0.7500
7 Tl 0.7500 0.2500 0.7500
8 Tl 0.7500 0.7500 0.2500
9 Ir 0.2500 0.2500 0.7500
10 Ir 0.2500 0.7500 0.2500
11 Ir 0.7500 0.2500 0.2500
12 Ir 0.7500 0.7500 0.7500